DFT (PBE-GGA) results for crystalline ZrFeNi at its relaxed geometry.

Summary:
crystal system	orthorhombic
DFT formation energy	-0.303	eV/atom

```
data_ZrFeNi
_chemical_formula_sum 'Zr4 Fe4 Ni4'
_cell_length_a 4.892
_cell_length_b 4.951
_cell_length_c 7.062
_cell_angle_alpha 90.00
_cell_angle_beta 90.00
_cell_angle_gamma 90.00
_symmetry_space_group_name_H-M 'I m m a'
_symmetry_Int_Tables_number 74
_symmetry_space_group_name_Hall '-I 2b 2'
loop_
_atom_site_label
_atom_site_type_symbol
_atom_site_fract_x
_atom_site_fract_y
_atom_site_fract_z
Zr1 Zr 0.000 0.250 0.122
Fe1 Fe 0.250 0.250 0.750
Ni1 Ni 0.000 0.000 0.500
```

DFT (PBE-GGA) results for crystalline La2Pm3Dy4 at its relaxed geometry.

Summary:
ΔE to the lowest computed polymorph	0	meV/atom
crystal system	triclinic
DFT formation energy	0.024	eV/atom

```
data_La2Pm3Dy4
_chemical_formula_sum 'La2 Pm3 Dy4'
_cell_length_a 6.262
_cell_length_b 6.296
_cell_length_c 8.110
_cell_angle_alpha 82.48
_cell_angle_beta 75.12
_cell_angle_gamma 80.37
_symmetry_space_group_name_H-M 'P -1'
_symmetry_Int_Tables_number 2
_symmetry_space_group_name_Hall '-P 1'
loop_
_atom_site_label
_atom_site_type_symbol
_atom_site_fract_x
_atom_site_fract_y
_atom_site_fract_z
La1 La 0.168 0.331 0.332
Pm1 Pm 0.058 0.111 0.779
Pm2 Pm 0.500 0.000 0.000
Dy1 Dy 0.277 0.553 0.889
Dy2 Dy 0.391 0.774 0.445
```

DFT (PBE-GGA) results for crystalline IrPt2Cl at its relaxed geometry.

Summary:
ΔE to the lowest computed polymorph	107	meV/atom
formation energy from raw total energies	1.58	eV/f.u.
crystal system	orthorhombic

```
data_IrPt2Cl
_chemical_formula_sum 'Ir2 Pt4 Cl2'
_cell_length_a 2.792
_cell_length_b 5.024
_cell_length_c 9.128
_cell_angle_alpha 90.00
_cell_angle_beta 90.00
_cell_angle_gamma 90.00
_symmetry_space_group_name_H-M 'C m m m'
_symmetry_Int_Tables_number 65
_symmetry_space_group_name_Hall '-C 2 2'
loop_
_atom_site_label
_atom_site_type_symbol
_atom_site_fract_x
_atom_site_fract_y
_atom_site_fract_z
Ir1 Ir 0.000 0.000 0.000
Pt1 Pt 0.000 0.500 0.249
Cl1 Cl 0.000 0.000 0.500
```

Taking the records one at a time from the top gives V values of 42.8, 303.4, 64.0 Å³/f.u..
Taking the records one at a time from the top gives spin magnetization values of 1.3, 0.0, 0.0 μB per formula unit.